Record 1
Crystalline Cd3In3Hg at its relaxed geometry. Source: Alexandria, functional PBE.

Lattice parameters (Å, degrees): 8.183 8.183 8.183 90.00 90.00 90.00
Atoms (fractional coordinates):
In (0.000, 0.500, 0.250)
In (0.000, 0.500, 0.750)
In (0.500, 0.750, 0.000)
In (0.500, 0.250, 0.000)
In (0.750, 0.000, 0.500)
In (0.250, 0.000, 0.500)
Cd (0.500, 0.000, 0.750)
Cd (0.000, 0.750, 0.500)
Cd (0.500, 0.000, 0.250)
Cd (0.250, 0.500, 0.000)
Cd (0.750, 0.500, 0.000)
Cd (0.000, 0.250, 0.500)
Hg (0.500, 0.500, 0.500)
Hg (0.000, 0.000, 0.000)

## Properties
Symmetry: Pm-3n, No. 223
Formation enthalpy at 0 K, eV/atom: 0.36
Offset from the most stable computed form, meV/atom: 295

Record 2
Crystalline HfMgGaCo at its relaxed geometry. Source: Alexandria, functional PBE.

Lattice parameters (Å, degrees): 4.498 4.498 4.498 60.00 60.00 60.00
Atoms (fractional coordinates):
Mg (0.500, 0.500, 0.500)
Co (0.750, 0.750, 0.750)
Ga (0.250, 0.250, 0.250)
Hf (0.000, 0.000, 0.000)

## Properties
Symmetry: F-43m, No. 216
Formation enthalpy at 0 K, eV/atom: -0.22

Record 3
Crystalline Zn2InRu at its relaxed geometry. Source: Alexandria, functional PBE.

Lattice parameters (Å, degrees): 2.946 2.946 8.926 90.00 90.00 117.86
Atoms (fractional coordinates):
Ru (0.500, 0.500, 0.764)
Zn (0.500, 0.500, 0.232)
Zn (0.000, 0.000, 0.992)
In (0.000, 0.000, 0.511)

## Properties
Symmetry: Cmm2, No. 35
Formation enthalpy at 0 K, eV/atom: 0.28

Record 4
Crystalline Tb2ErPuSb4 at its relaxed geometry. Source: Alexandria, functional PBE.

Lattice parameters (Å, degrees): 4.401 7.612 7.607 70.56 90.00 90.00
Atoms (fractional coordinates):
Pu (0.500, 0.500, 0.000)
Er (0.000, 0.500, 0.500)
Sb (0.000, 0.749, 0.749)
Sb (0.500, 0.748, 0.252)
Sb (0.000, 0.251, 0.251)
Sb (0.500, 0.252, 0.748)
Tb (0.500, 0.000, 0.500)
Tb (0.000, 0.000, 0.000)

## Properties
Symmetry: P2/m, No. 10
Total DFT energy (no corrections), eV/atom: -6.57

Record 5
Crystalline KAl2Se at its relaxed geometry. Source: Alexandria, functional PBE.

Lattice parameters (Å, degrees): 6.190 6.190 6.190 147.47 129.02 61.79
Atoms (fractional coordinates):
Se (0.250, 0.750, 0.500)
K (0.750, 0.250, 0.500)
Al (0.047, 0.047, 0.000)
Al (0.453, 0.453, 0.000)

## Properties
Symmetry: Immm, No. 71
Total DFT energy (no corrections), eV/atom: -3.16

Record 6
Crystalline ZnSiAu2 at its relaxed geometry. Source: Alexandria, functional PBE.

Lattice parameters (Å, degrees): 4.459 4.459 4.922 79.70 79.70 45.76
Atoms (fractional coordinates):
Zn (0.250, 0.250, 0.250)
Au (0.006, 0.006, 0.993)
Au (0.494, 0.494, 0.507)
Si (0.750, 0.750, 0.750)

## Properties
Symmetry: C2/m, No. 12
Total DFT energy (no corrections), eV/atom: -3.27

Record 7
Crystalline Tb2Pm3Tl3 at its relaxed geometry. Source: Alexandria, functional PBE.

Lattice parameters (Å, degrees): 4.462 5.051 11.082 103.17 101.61 90.00
Atoms (fractional coordinates):
Pm (0.620, 0.620, 0.239)
Pm (0.500, 0.000, 0.000)
Pm (0.380, 0.380, 0.761)
Tl (0.129, 0.129, 0.258)
Tl (0.000, 0.500, 0.000)
Tl (0.871, 0.871, 0.742)
Tb (0.737, 0.237, 0.474)
Tb (0.263, 0.763, 0.526)

## Properties
Symmetry: Immm, No. 71
Formation enthalpy at 0 K, eV/atom: -0.27

Record 8
Crystalline PmNdHg at its relaxed geometry. Source: Alexandria, functional PBE.

Lattice parameters (Å, degrees): 5.252 9.587 7.260 90.00 90.00 90.00
Atoms (fractional coordinates):
Pm (0.250, 0.076, 0.830)
Pm (0.250, 0.424, 0.330)
Pm (0.750, 0.924, 0.170)
Pm (0.750, 0.576, 0.670)
Hg (0.250, 0.102, 0.262)
Hg (0.750, 0.602, 0.238)
Hg (0.250, 0.398, 0.762)
Hg (0.750, 0.898, 0.738)
Nd (0.750, 0.307, 0.014)
Nd (0.250, 0.807, 0.486)
Nd (0.250, 0.693, 0.986)
Nd (0.750, 0.193, 0.514)

## Properties
Symmetry: Pnma, No. 62
Formation enthalpy at 0 K, eV/atom: -0.33
Offset from the most stable computed form, meV/atom: 0